# 1
# LiSc2Cr2 (GGA-PBE, optimized geometry)
# ΔE_f = 0.3473 eV/atom
# E above lowest polymorph = 0 meV/atom
# M_tot = 0.00 μB/cell
data_LiSc2Cr2
_cell_length_a 7.554
_cell_length_b 7.554
_cell_length_c 3.242
_cell_angle_alpha 90.00
_cell_angle_beta 90.00
_cell_angle_gamma 90.00
_space_group_name_H-M_alt 'P 4/m b m'
_space_group_IT_number 127
_space_group_name_Hall '-P 4 2ab'
loop_
_atom_site_label
_atom_site_type_symbol
_atom_site_fract_x
_atom_site_fract_y
_atom_site_fract_z
_atom_site_occupancy
Li1 Li 0.000 0.000 0.000 1
Sc1 Sc 0.197 0.303 0.500 1
Cr1 Cr 0.088 0.588 0.000 1

***

# 2
# Li2ScCr (GGA-PBE, optimized geometry)
# ΔE_f = 0.4513 eV/atom
# E above lowest polymorph = 147 meV/atom
# M_tot = 3.47 μB/cell
data_Li2ScCr
_cell_length_a 2.945
_cell_length_b 4.586
_cell_length_c 5.564
_cell_angle_alpha 90.00
_cell_angle_beta 90.00
_cell_angle_gamma 90.00
_space_group_name_H-M_alt 'P m m m'
_space_group_IT_number 47
_space_group_name_Hall '-P 2 2'
loop_
_atom_site_label
_atom_site_type_symbol
_atom_site_fract_x
_atom_site_fract_y
_atom_site_fract_z
_atom_site_occupancy
Li1 Li 0.000 0.000 0.229 1
Sc1 Sc 0.500 0.500 0.500 1
Cr1 Cr 0.500 0.500 0.000 1

***

# 3
# Li4ScCr (GGA-PBE, optimized geometry)
# ΔE_f = 0.3002 eV/atom
# M_tot = 20.22 μB/cell
data_Li4ScCr
_cell_length_a 7.555
_cell_length_b 7.555
_cell_length_c 7.555
_cell_angle_alpha 90.00
_cell_angle_beta 90.00
_cell_angle_gamma 90.00
_space_group_name_H-M_alt 'F -4 3 m'
_space_group_IT_number 216
_space_group_name_Hall 'F -4 2 3'
loop_
_atom_site_label
_atom_site_type_symbol
_atom_site_fract_x
_atom_site_fract_y
_atom_site_fract_z
_atom_site_occupancy
Li1 Li 0.123 0.123 0.377 1
Sc1 Sc 0.000 0.000 0.000 1
Cr1 Cr 0.250 0.250 0.750 1

***

# 4
# LiScCr (GGA-PBE, optimized geometry)
# ΔE_f = 0.5085 eV/atom
# E above lowest polymorph = 109 meV/atom
# M_tot = 0.00 μB/cell
data_LiScCr
_cell_length_a 3.424
_cell_length_b 4.268
_cell_length_c 13.956
_cell_angle_alpha 90.00
_cell_angle_beta 90.00
_cell_angle_gamma 90.00
_space_group_name_H-M_alt 'F m m 2'
_space_group_IT_number 42
_space_group_name_Hall 'F 2 -2'
loop_
_atom_site_label
_atom_site_type_symbol
_atom_site_fract_x
_atom_site_fract_y
_atom_site_fract_z
_atom_site_occupancy
Li1 Li 0.000 0.000 0.000 1
Sc1 Sc 0.000 0.000 0.698 1
Cr1 Cr 0.000 0.000 0.343 1